# Li5ZnPd | the Alexandria database | PBE | optimized geometry
# * formation enthalpy at 0 K: -0.145 eV per atom
# * energy relative to the lowest polymorph listed for this composition: 30 meV per atom
data_Li5ZnPd
_chemical_formula_sum 'Li5 Zn1 Pd1'
_cell_length_a 4.3434
_cell_length_b 4.3434
_cell_length_c 6.4098
_cell_angle_alpha 90.00
_cell_angle_beta 90.00
_cell_angle_gamma 90.00
_symmetry_space_group_name_H-M 'P 4/m m m'
_symmetry_Int_Tables_number 123
_symmetry_space_group_name_Hall '-P 4 2'
loop_
_atom_site_label
_atom_site_fract_x
_atom_site_fract_y
_atom_site_fract_z
Li1 0.0000 0.0000 0.0000
Li2 0.0000 0.5000 0.2848
Zn1 0.5000 0.5000 0.0000
Pd1 0.0000 0.0000 0.5000